# Rb2CeSe2Br2

A geometry-optimized Rb2CeSe2Br2 structure (PBE-GGA, Alexandria via LeMat-Bulk).

CIF file:
```
data_Rb2CeSe2Br2
_chemical_formula_sum 'Rb4 Ce2 Se4 Br4'
_space_group_name_H-M_alt 'I 4/m m m'
_space_group_IT_number 139
_space_group_name_Hall '-I 4 2'
_cell_length_a 5.5928
_cell_length_b 5.5928
_cell_length_c 17.5413
_cell_angle_alpha 90.00
_cell_angle_beta 90.00
_cell_angle_gamma 90.00
loop_
_atom_site_label
_atom_site_type_symbol
_atom_site_fract_x
_atom_site_fract_y
_atom_site_fract_z
Rb1 Rb 0.0000 0.0000 0.1346
Ce1 Ce 0.0000 0.0000 0.5000
Se1 Se 0.0000 0.5000 0.0000
Br1 Br 0.0000 0.0000 0.3338
```

Output
M_tot, Bohr magnetons per cell: 0.33
D(E_F), states/eV per atom: 0.3817
ΔE_f (raw), eV per formula unit: -11.40
Density, Mg/m³: 3.8